(1)
Below is crystalline HoCuAsP at its relaxed geometry, with properties calculated at the PBE-GGA level. Values from VASP.

```
&SYSTEM
  ibrav = 0, nat = 8, ntyp = 4
/
ATOMIC_SPECIES
Cu 63.55 Cu.upf
As 74.92 As.upf
Ho 164.93 Ho.upf
P 30.97 P.upf
CELL_PARAMETERS angstrom
3.808 0.000 0.000
0.000 3.808 0.000
0.000 0.000 9.691
ATOMIC_POSITIONS crystal
Cu 0.750 0.250 0.500
Cu 0.250 0.750 0.500
As 0.750 0.250 0.000
As 0.250 0.750 0.000
Ho 0.750 0.750 0.758
Ho 0.250 0.250 0.242
P 0.750 0.750 0.346
P 0.250 0.250 0.654
```

Results
* VASP energy: -43.7 eV for the cell shown
* SG: P4/nmm, No. 129

(2)
Below is crystalline PrHoCu2As2P2 at its relaxed geometry, with properties calculated at the PBE-GGA level. Values from VASP.

```
&SYSTEM
  ibrav = 0, nat = 8, ntyp = 5
/
ATOMIC_SPECIES
Ho 164.93 Ho.upf
P 30.97 P.upf
Cu 63.55 Cu.upf
As 74.92 As.upf
Pr 140.91 Pr.upf
CELL_PARAMETERS angstrom
3.858 0.000 0.000
0.000 3.858 0.000
0.000 0.000 9.946
ATOMIC_POSITIONS crystal
Ho 0.000 0.000 0.246
P 0.000 0.000 0.641
P 0.500 0.500 0.346
Cu 0.000 0.500 0.494
Cu 0.500 0.000 0.494
As 0.500 0.000 0.010
As 0.000 0.500 0.010
Pr 0.500 0.500 0.759
```

Results
* VASP energy: -43.9 eV for the cell shown
* SG: P4mm, No. 99

(3)
Below is crystalline TbHoCu2As2P2 at its relaxed geometry, with properties calculated at the PBE-GGA level. Values from VASP.

```
&SYSTEM
  ibrav = 0, nat = 8, ntyp = 5
/
ATOMIC_SPECIES
Cu 63.55 Cu.upf
P 30.97 P.upf
Tb 158.93 Tb.upf
As 74.92 As.upf
Ho 164.93 Ho.upf
CELL_PARAMETERS angstrom
3.816 0.000 0.000
0.000 3.816 0.000
0.000 0.000 9.737
ATOMIC_POSITIONS crystal
Cu 0.000 0.500 0.501
Cu 0.500 0.000 0.501
P 0.500 0.500 0.654
P 0.000 0.000 0.348
Tb 0.500 0.500 0.243
As 0.000 0.500 0.999
As 0.500 0.000 0.999
Ho 0.000 0.000 0.757
```

Results
* VASP energy: -43.8 eV for the cell shown
* SG: P4mm, No. 99

(4)
Below is crystalline HoCuSbAs at its relaxed geometry, with properties calculated at the PBE-GGA level. Values from VASP.

```
&SYSTEM
  ibrav = 0, nat = 8, ntyp = 4
/
ATOMIC_SPECIES
Ho 164.93 Ho.upf
Sb 121.76 Sb.upf
Cu 63.55 Cu.upf
As 74.92 As.upf
CELL_PARAMETERS angstrom
-0.162 -4.103 0.026
3.700 -0.157 -1.774
4.257 -0.112 8.890
ATOMIC_POSITIONS crystal
Ho 0.000 0.500 0.775
Ho 0.500 0.000 0.225
Sb 0.000 0.500 0.331
Sb 0.500 0.000 0.669
Cu 0.500 0.500 0.500
Cu 0.000 0.000 0.500
As 0.000 0.000 0.000
As 0.500 0.500 0.000
```

Results
* VASP energy: -39.3 eV for the cell shown
* ΔE to the lowest computed polymorph: 35 meV per atom
* SG: P4/nmm, No. 129

(5)
Below is crystalline HoCuSbAs at its relaxed geometry, with properties calculated at the PBE-GGA level. Values from VASP.

```
&SYSTEM
  ibrav = 0, nat = 8, ntyp = 4
/
ATOMIC_SPECIES
Cu 63.55 Cu.upf
Sb 121.76 Sb.upf
As 74.92 As.upf
Ho 164.93 Ho.upf
CELL_PARAMETERS angstrom
-1.627 -3.757 -0.464
1.533 -0.193 -3.819
8.191 -3.978 3.488
ATOMIC_POSITIONS crystal
Cu 0.500 0.500 0.500
Cu 0.000 0.000 0.500
Sb 0.500 0.500 0.000
Sb 0.000 0.000 0.000
As 0.000 0.500 0.345
As 0.500 0.000 0.655
Ho 0.500 0.000 0.258
Ho 0.000 0.500 0.742
```

Results
* VASP energy: -39.6 eV for the cell shown
* ΔE to the lowest computed polymorph: 0 meV per atom
* SG: P4/nmm, No. 129

(6)
Below is crystalline HoScCu2As4 at its relaxed geometry, with properties calculated at the PBE-GGA level. Values from VASP.

```
&SYSTEM
  ibrav = 0, nat = 8, ntyp = 4
/
ATOMIC_SPECIES
Cu 63.55 Cu.upf
As 74.92 As.upf
Sc 44.96 Sc.upf
Ho 164.93 Ho.upf
CELL_PARAMETERS angstrom
3.853 0.000 0.000
0.000 3.853 0.000
0.000 0.000 9.623
ATOMIC_POSITIONS crystal
Cu 0.500 0.000 0.495
Cu 0.000 0.500 0.495
As 0.000 0.500 0.009
As 0.500 0.500 0.663
As 0.000 0.000 0.328
As 0.500 0.000 0.009
Sc 0.500 0.500 0.235
Ho 0.000 0.000 0.767
```

Results
* VASP energy: -43.0 eV for the cell shown
* SG: P4mm, No. 99

(7)
Below is crystalline TbHoCu2As4 at its relaxed geometry, with properties calculated at the PBE-GGA level. Values from VASP.

```
&SYSTEM
  ibrav = 0, nat = 8, ntyp = 4
/
ATOMIC_SPECIES
Cu 63.55 Cu.upf
Ho 164.93 Ho.upf
Tb 158.93 Tb.upf
As 74.92 As.upf
CELL_PARAMETERS angstrom
3.909 0.000 0.000
0.000 3.909 0.000
0.000 0.000 9.839
ATOMIC_POSITIONS crystal
Cu 0.000 0.500 0.501
Cu 0.500 0.000 0.501
Ho 0.000 0.000 0.763
Tb 0.500 0.500 0.237
As 0.000 0.500 0.999
As 0.500 0.000 0.999
As 0.500 0.500 0.662
As 0.000 0.000 0.340
```

Results
* VASP energy: -41.8 eV for the cell shown
* SG: P4mm, No. 99

(8)
Below is crystalline HoTmCu2As4 at its relaxed geometry, with properties calculated at the PBE-GGA level. Values from VASP.

```
&SYSTEM
  ibrav = 0, nat = 8, ntyp = 4
/
ATOMIC_SPECIES
Cu 63.55 Cu.upf
Ho 164.93 Ho.upf
Tm 168.93 Tm.upf
As 74.92 As.upf
CELL_PARAMETERS angstrom
3.891 0.000 0.000
0.000 3.891 0.000
0.000 0.000 9.777
ATOMIC_POSITIONS crystal
Cu 0.000 0.500 0.500
Cu 0.500 0.000 0.500
Ho 0.000 0.000 0.763
Tm 0.500 0.500 0.237
As 0.500 0.500 0.662
As 0.000 0.500 0.001
As 0.000 0.000 0.336
As 0.500 0.000 0.001
```

Results
* VASP energy: -41.5 eV for the cell shown
* SG: P4mm, No. 99